[1]
19
Lattice="-2.4847 -6.4130 -0.5281 6.7657 -0.6221 1.1909 -2.7484 2.6907 5.7259" Properties=species:S:1:pos:R:3 comment="Zn6InCu12 (PBE-GGA, relaxed)" spacegroup="R-3m (166)" pbc="T T T"
Cu 0.6641 1.3523 5.6156
Cu -2.9171 -0.8897 4.9501
Cu 0.3243 -2.1483 5.4920
Cu 4.3475 0.0697 3.8599
Cu -2.8150 -4.4142 2.5289
Cu 0.8684 -5.6967 0.7731
Cu 4.4497 -3.4548 1.4387
Cu 1.1447 -0.0028 2.4035
Cu 2.6165 -2.9465 4.3994
Cu 1.2082 -2.1961 0.8967
Cu 0.3879 -4.3416 3.9853
Cu -1.0840 -1.3980 1.9893
Zn -1.6540 -2.7942 3.9977
Zn -0.6499 -0.2144 4.2197
Zn -0.5436 -3.8854 1.6978
Zn 2.0761 -0.4591 4.6909
Zn 2.1825 -4.1301 2.1690
Zn 3.1866 -1.5502 2.3910
In 0.0000 0.0000 0.0000

***

[2]
4
Lattice="2.6248 -0.0001 0.0000 -1.1545 2.3573 0.0000 0.0000 0.0000 8.7991" Properties=species:S:1:pos:R:3 comment="CrCuOs2 (PBE-GGA, relaxed)" spacegroup="Cmmm (65)" pbc="T T T"
Cr 0.7352 1.1786 2.1998
Cu 0.7352 1.1786 6.5994
Os 0.0000 0.0000 4.3149
Os 0.0000 0.0000 0.0847

***

[3]
4
Lattice="4.3569 0.0023 -0.0019 0.0029 5.8148 -0.0101 -2.1789 -2.9167 5.9906" Properties=species:S:1:pos:R:3 comment="Ac2PmPd (PBE-GGA, relaxed)" spacegroup="P-1 (2)" pbc="T T T"
Pd -0.0006 -2.8653 5.9896
Pm 2.1802 2.9591 -0.0060
Ac 2.1803 2.9610 3.8937
Ac 0.0004 0.0479 2.0847

***

E across the listed records, respectively: -56.897, -34.726, -19.204 eV/f.u..
Energy of formation from the pure elements across the listed records, respectively: 138.9, 363.1, -260.9 meV/atom.